1.
{"formula": "Cu2Rh3", "functional": "GGA-PBE", "state": "optimized geometry", "cell": [[-9.0243, -2.5120, -5.5002], [-9.7099, -3.6957, -3.1718], [-10.2105, -1.0691, -3.5499]], "species": ["Cu", "Cu", "Rh", "Rh", "Rh"], "frac_coords": [[0.6005, 0.6005, 0.6005], [0.3995, 0.3995, 0.3995], [0.7996, 0.7996, 0.7996], [0.2004, 0.2004, 0.2004], [0.0000, 0.0000, 0.0000]], "dos_at_fermi_per_ev_atom": 1.38, "formation_enthalpy_0k_ev_per_atom": 0.0780, "spacegroup": "R-3m, No. 166"}

2.
{"formula": "LaZr3Ni", "functional": "GGA-PBE", "state": "optimized geometry", "cell": [[5.0913, 0.0000, 0.0000], [0.0000, 5.0913, 0.0000], [0.0000, 0.0000, 5.0913]], "species": ["Zr", "La", "Zr", "Ni", "Zr"], "frac_coords": [[0.5000, 0.0000, 0.0000], [0.0000, 0.0000, 0.0000], [0.0000, 0.5000, 0.0000], [0.5000, 0.5000, 0.5000], [0.0000, 0.0000, 0.5000]], "dos_at_fermi_per_ev_atom": 2.34, "formation_enthalpy_0k_ev_per_atom": 1.5879, "spacegroup": "Pm-3m, No. 221"}

3.
{"formula": "BaSi", "functional": "GGA-PBE", "state": "optimized geometry", "cell": [[9.4831, 0.0176, 0.0105], [8.5328, 4.1377, 0.0105], [8.5328, 1.9681, 3.6397]], "species": ["Si", "Ba", "Ba", "Si"], "frac_coords": [[0.6725, 0.6725, 0.6725], [0.0866, 0.0866, 0.0866], [0.9134, 0.9134, 0.9134], [0.3275, 0.3275, 0.3275]], "e_form_raw_kcal_per_mol_atoms": -6.64, "dos_at_fermi_per_ev_atom": 0.93, "spacegroup": "R-3m, No. 166"}

4.
{"formula": "TiMnAs", "functional": "GGA-PBE", "state": "optimized geometry", "cell": [[-2.1082, -1.9746, 0.8256], [1.0011, 0.1144, 2.8301], [-2.3736, 4.4291, -0.9338]], "species": ["Ti", "Mn", "As"], "frac_coords": [[0.2922, 0.2922, 0.5844], [0.9633, 0.9633, 0.9267], [0.5945, 0.5945, 0.1889]], "dos_at_fermi_per_ev_atom": 0.90, "formation_enthalpy_0k_ev_per_atom": -0.2422, "spacegroup": "I4mm, No. 107"}

5.
{"formula": "Y4Cu3", "functional": "GGA-PBE", "state": "optimized geometry", "cell": [[-1.7379, 1.7379, 13.4895], [1.7379, -1.7379, 13.4895], [1.7379, 1.7379, -13.4895]], "species": ["Y", "Cu", "Y", "Y", "Cu", "Y", "Cu"], "frac_coords": [[0.8334, 0.8334, 0.0000], [0.2714, 0.2714, 0.0000], [0.1666, 0.1666, 0.0000], [0.4358, 0.4358, 0.0000], [0.7286, 0.7286, 0.0000], [0.5642, 0.5642, 0.0000], [0.0000, 0.0000, 0.0000]], "dos_at_fermi_per_ev_atom": 0.92, "formation_enthalpy_0k_ev_per_atom": -0.1162, "spacegroup": "I4/mmm, No. 139"}

6.
{"formula": "CsTlGe2I8", "functional": "GGA-PBE", "state": "optimized geometry", "cell": [[-1.1343, -3.8225, -6.6102], [6.9595, 2.9180, 1.6260], [2.9848, -10.0820, 5.3181]], "species": ["I", "I", "I", "Tl", "Ge", "I", "I", "I", "I", "Cs", "Ge", "I"], "frac_coords": [[0.9921, 0.3298, 0.7028], [0.0079, 0.6702, 0.2972], [0.6702, 0.6623, 0.7028], [0.0000, 0.0000, 0.5000], [0.3333, 0.6667, 0.7680], [0.3298, 0.3377, 0.2972], [0.3333, 0.6667, 0.9947], [0.6623, 0.9921, 0.2972], [0.6667, 0.3333, 0.0053], [0.0000, 0.0000, 0.0000], [0.6667, 0.3333, 0.2320], [0.3377, 0.0079, 0.7028]], "e_form_raw_kcal_per_mol_atoms": -11.36, "dos_at_fermi_per_ev_atom": 0.95, "spacegroup": "P-3, No. 147"}

7.
{"formula": "Ba2ZnPd2", "functional": "GGA-PBE", "state": "optimized geometry", "cell": [[4.3084, 0.0000, 1.2368], [1.9767, 3.8282, 1.2368], [-0.5917, -0.3604, 10.1837]], "species": ["Pd", "Ba", "Zn", "Pd", "Ba"], "frac_coords": [[0.6879, 0.6879, 0.9362], [0.5784, 0.5784, 0.2648], [0.0000, 0.0000, 0.0000], [0.3121, 0.3121, 0.0638], [0.4216, 0.4216, 0.7352]], "dos_at_fermi_per_ev_atom": 0.70, "formation_enthalpy_0k_ev_per_atom": -0.4790, "spacegroup": "R-3m, No. 166"}

8.
{"formula": "Rb2ScC", "functional": "GGA-PBE", "state": "optimized geometry", "cell": [[-10.6956, 1.9503, 7.8727], [6.2409, -6.3426, 10.0500], [-1.4180, -0.3731, 9.6093]], "species": ["Sc", "Rb", "Rb", "Sc", "C", "Rb", "C", "Rb"], "frac_coords": [[0.0000, 0.0000, 0.0000], [0.3750, 0.5723, 0.7500], [0.8750, 0.6777, 0.7500], [0.7500, 0.2500, 0.5000], [0.5000, 0.5000, 0.0000], [0.3223, 0.6250, 0.2500], [0.2500, 0.7500, 0.5000], [0.4277, 0.1250, 0.2500]], "dos_at_fermi_per_ev_atom": 0.58, "formation_enthalpy_0k_ev_per_atom": 0.7419, "spacegroup": "I-42d, No. 122"}

9.
{"formula": "Th2GaFeCo6", "functional": "GGA-PBE", "state": "optimized geometry", "cell": [[6.2059, -0.0004, 0.0000], [0.0004, 6.2059, 0.0000], [3.1031, 3.1027, 4.3882]], "species": ["Co", "Co", "Co", "Ga", "Co", "Th", "Co", "Co", "Th", "Fe"], "frac_coords": [[0.7459, 0.2541, 0.0000], [0.2541, 0.2541, 0.4917], [0.2541, 0.2541, 0.0000], [0.0000, 0.0000, 0.0000], [0.7459, 0.7459, 0.0000], [0.2500, 0.7500, 0.5000], [0.7459, 0.7459, 0.5083], [0.2541, 0.7459, 0.0000], [0.7500, 0.2500, 0.5000], [0.5000, 0.5000, 0.0000]], "dos_at_fermi_per_ev_atom": 1.04, "formation_enthalpy_0k_ev_per_atom": 0.2573, "spacegroup": "Fm-3m, No. 225"}

10.
{"formula": "CaInHg", "functional": "GGA-PBE", "state": "optimized geometry", "cell": [[-1.2513, 4.7310, 4.1065], [-1.6489, 1.5458, 5.9751], [3.1490, 0.6897, 1.8449]], "species": ["Ca", "Hg", "In"], "frac_coords": [[0.9920, 0.9920, 0.0080], [0.3296, 0.3296, 0.6704], [0.6784, 0.6784, 0.3216]], "dos_at_fermi_per_ev_atom": 0.26, "formation_enthalpy_0k_ev_per_atom": -0.3857, "spacegroup": "I4mm, No. 107"}

no.,calculated density (g/cm3),uncorrected energy (eV per atom),calculated volume (Å³/f.u.)
1,10.7,-5.9713,67.9
2,5.9,-5.6828,132.0
3,3.9,-3.9608,70.9
4,7.0,-7.4802,42.0
5,5.6,-5.5655,163.0
6,4.1,-2.5641,608.1
7,5.3,-3.5800,171.8
8,2.0,-3.6307,188.9
9,9.3,-6.6391,169.0
10,7.3,-2.0663,80.3